<P>
This record from the Alexandria database describes Ba2GaH2 after structural relaxation. The functional is GGA-PBE.

```
Ba2GaH2
1.0
-1.454 0.608 -3.945
3.286 -2.202 -1.550
-3.101 -7.144 -2.245
H Ba Ga
2 2 1
direct
0.750 0.250 0.500 H
0.250 0.750 0.500 H
0.353 0.353 0.294 Ba
0.647 0.647 0.706 Ba
0.000 0.000 0.000 Ga
```

Output
Volume: 135.87 Å³/cell
Space-group type: I4/mmm (139)

***

<Q>
This record from the Alexandria database describes Ba2GaH2 after structural relaxation. The functional is GGA-PBE.

```
Ba2GaH2
1.0
-1.034 5.541 5.768
2.409 -5.330 5.552
3.382 1.080 -0.431
H Ba Ga
4 4 2
direct
0.379 0.879 0.000 H
0.879 0.621 0.000 H
0.621 0.121 0.000 H
0.121 0.379 0.000 H
0.180 0.680 0.500 Ba
0.680 0.820 0.500 Ba
0.820 0.320 0.500 Ba
0.320 0.180 0.500 Ba
0.000 0.000 0.000 Ga
0.500 0.500 0.000 Ga
```

Output
Volume: 232.57 Å³/cell
Space-group type: P4/mbm (127)

***

Most stable structure: <P>

***

<P>
This record from the Alexandria database describes Ba2LiGaH after structural relaxation. The functional is GGA-PBE.

```
Ba2LiGaH
1.0
5.731 0.000 0.000
0.000 5.731 0.000
0.000 0.000 4.230
H Ba Ga Li
1 2 1 1
direct
0.000 0.000 0.000 H
0.000 0.500 0.000 Ba
0.500 0.000 0.000 Ba
0.500 0.500 0.500 Ga
0.000 0.000 0.500 Li
```

Output
Volume: 138.94 Å³/cell
Space-group type: P4/mmm (123)

***

<Q>
This record from the Alexandria database describes Ba2LiGaH after structural relaxation. The functional is GGA-PBE.

```
Ba2LiGaH
1.0
4.392 0.000 0.000
0.000 7.562 0.196
0.000 -2.994 8.788
Ba Li Ga H
4 2 2 2
direct
0.750 0.807 0.589 Ba
0.750 0.777 0.048 Ba
0.250 0.193 0.411 Ba
0.250 0.223 0.952 Ba
0.250 0.565 0.751 Li
0.750 0.435 0.249 Li
0.250 0.661 0.288 Ga
0.750 0.339 0.712 Ga
0.250 0.828 0.828 H
0.750 0.172 0.172 H
```

Output
Volume: 294.42 Å³/cell
Space-group type: P2_1/m (11)

***

<R>
This record from the Alexandria database describes Ba2LiGaH after structural relaxation. The functional is GGA-PBE.

```
Ba2LiGaH
1.0
5.684 0.000 0.000
0.000 5.684 0.000
0.000 0.000 4.442
H Ba Ga Li
1 2 1 1
direct
0.000 0.000 0.000 H
0.000 0.500 0.000 Ba
0.500 0.000 0.000 Ba
0.000 0.000 0.500 Ga
0.500 0.500 0.500 Li
```

Output
Volume: 143.52 Å³/cell
Space-group type: P4/mmm (123)

***

Most stable structure: <P>

***

<P>
This record from the Alexandria database describes BaHf2Ga2 after structural relaxation. The functional is GGA-PBE.

```
BaHf2Ga2
1.0
5.029 0.000 0.000
0.000 5.029 0.000
2.515 2.515 5.499
Hf Ba Ga
2 1 2
direct
0.341 0.341 0.319 Hf
0.659 0.659 0.681 Hf
0.000 0.000 0.000 Ba
0.750 0.250 0.500 Ga
0.250 0.750 0.500 Ga
```

Output
Volume: 139.08 Å³/cell
Space-group type: I4/mmm (139)

***

<Q>
This record from the Alexandria database describes BaHf2Ga2 after structural relaxation. The functional is GGA-PBE.

```
BaHf2Ga2
1.0
8.652 0.000 0.000
0.000 8.652 0.000
0.000 0.000 3.066
Hf Ba Ga
4 2 4
direct
0.374 0.874 0.000 Hf
0.874 0.626 0.000 Hf
0.626 0.126 0.000 Hf
0.126 0.374 0.000 Hf
0.000 0.000 0.000 Ba
0.500 0.500 0.000 Ba
0.166 0.666 0.500 Ga
0.666 0.834 0.500 Ga
0.834 0.334 0.500 Ga
0.334 0.166 0.500 Ga
```

Output
Volume: 229.45 Å³/cell
Space-group type: P4/mbm (127)

***

Most stable structure: <Q>